NaLa2Bi | PBE | optimized geometry

a = 4.6129 Å, b = 5.2903 Å, c = 5.2903 Å
α = 90.00°, β = 90.00°, γ = 90.00°
Atoms (fractional coordinates):
Na 0.5000 0.0000 0.0000
Bi 0.5000 0.5000 0.5000
La 0.0000 0.0000 0.5000
La 0.0000 0.5000 0.0000

Properties
Energy relative to the elements   -0.407 eV/atom
D(E_F)   0.82 states/eV per atom

=====

NaLaBi2 | PBE | optimized geometry

a = 4.6000 Å, b = 4.6000 Å, c = 12.1178 Å
α = 90.00°, β = 90.00°, γ = 90.00°
Atoms (fractional coordinates):
Na 0.5000 0.5000 0.0000
Na 0.0000 0.0000 0.0000
La 0.0000 0.5000 0.2805
La 0.5000 0.0000 0.7195
Bi 0.5000 0.0000 0.1937
Bi 0.0000 0.5000 0.8063
Bi 0.0000 0.0000 0.5000
Bi 0.5000 0.5000 0.5000

Properties
Energy relative to the elements   -0.644 eV/atom
Relative energy among the computed polymorphs   0.000 eV per atom
D(E_F)   0.68 states/eV per atom

=====

Na2LaBi | PBE | optimized geometry

a = 4.6746 Å, b = 4.6746 Å, c = 13.4071 Å
α = 79.96°, β = 79.96°, γ = 90.00°
Atoms (fractional coordinates):
Na 0.6454 0.1250 0.2500
Na 0.1046 0.6250 0.2500
Na 0.3750 0.3546 0.7500
Na 0.8750 0.8954 0.7500
Bi 0.0000 0.0000 0.0000
Bi 0.7500 0.2500 0.5000
La 0.5000 0.5000 0.0000
La 0.2500 0.7500 0.5000

Properties
Energy relative to the elements   -0.286 eV/atom
D(E_F)   0.69 states/eV per atom

=====

NaLa5Bi3 | PBE | optimized geometry

a = 6.8121 Å, b = 9.9953 Å, c = 9.9946 Å
α = 120.00°, β = 90.00°, γ = 90.00°
Site moments in Bohr magnetons follow the coordinates.
Atoms (fractional coordinates):
Na 0.0000 0.0000 0.0000  0.00
Na 0.5000 0.0000 0.0000  0.00
La 0.0000 0.6667 0.3333  0.17
La 0.5000 0.3333 0.6667  0.17
La 0.0000 0.3333 0.6667  0.17
La 0.5000 0.6667 0.3333  0.17
La 0.7500 0.7008 0.7008  0.05
La 0.7500 0.0000 0.2992  0.05
La 0.7500 0.2992 0.0000  0.05
La 0.2500 0.2992 0.2992  0.05
La 0.2500 0.0000 0.7008  0.05
La 0.2500 0.7008 0.0000  0.05
Bi 0.7500 0.3632 0.3632  -0.01
Bi 0.7500 0.0000 0.6368  -0.01
Bi 0.7500 0.6368 0.0000  -0.01
Bi 0.2500 0.6368 0.6368  -0.01
Bi 0.2500 0.0000 0.3632  -0.01
Bi 0.2500 0.3632 0.0000  -0.01

Properties
Energy relative to the elements   -0.679 eV/atom
D(E_F)   1.19 states/eV per atom

=====

NaLaBi2 | PBE | optimized geometry

a = 4.2680 Å, b = 4.2680 Å, c = 7.0950 Å
α = 90.00°, β = 90.00°, γ = 90.00°
Atoms (fractional coordinates):
Na 0.5000 0.5000 0.5000
Bi 0.0000 0.0000 0.7580
Bi 0.0000 0.0000 0.2420
La 0.5000 0.5000 0.0000

Properties
Energy relative to the elements   -0.565 eV/atom
Relative energy among the computed polymorphs   0.079 eV per atom
D(E_F)   0.42 states/eV per atom

=====

Na2LaBi2 | PBE | optimized geometry

a = 9.1308 Å, b = 9.1308 Å, c = 3.5358 Å
α = 90.00°, β = 90.00°, γ = 90.00°
Atoms (fractional coordinates):
Na 0.3887 0.8887 0.0000
Na 0.8887 0.6113 0.0000
Na 0.6113 0.1113 0.0000
Na 0.1113 0.3887 0.0000
Bi 0.1872 0.6872 0.5000
Bi 0.6872 0.8128 0.5000
Bi 0.8128 0.3128 0.5000
Bi 0.3128 0.1872 0.5000
La 0.0000 0.0000 0.0000
La 0.5000 0.5000 0.0000

Properties
Energy relative to the elements   -0.439 eV/atom
Relative energy among the computed polymorphs   0.026 eV per atom
D(E_F)   0.54 states/eV per atom

=====

NaLa2Bi2 | PBE | optimized geometry

a = 9.1400 Å, b = 9.1400 Å, c = 4.1261 Å
α = 90.00°, β = 90.00°, γ = 90.00°
Atoms (fractional coordinates):
Na 0.0000 0.0000 0.0000
Na 0.5000 0.5000 0.0000
Bi 0.1644 0.6644 0.5000
Bi 0.6644 0.8356 0.5000
Bi 0.8356 0.3356 0.5000
Bi 0.3356 0.1644 0.5000
La 0.3632 0.8632 0.0000
La 0.8632 0.6368 0.0000
La 0.6368 0.1368 0.0000
La 0.1368 0.3632 0.0000

Properties
Energy relative to the elements   -0.625 eV/atom
Relative energy among the computed polymorphs   0.131 eV per atom
D(E_F)   0.98 states/eV per atom

=====

NaLa2BiO5 | PBE | optimized geometry

a = 3.7777 Å, b = 7.6615 Å, c = 12.0654 Å
α = 90.00°, β = 90.00°, γ = 104.27°
Atoms (fractional coordinates):
Na 0.7586 0.5172 0.4620
Na 0.2414 0.4828 0.9620
La 0.8627 0.7253 0.7336
La 0.1520 0.3040 0.6925
La 0.1373 0.2747 0.2336
La 0.8480 0.6960 0.1925
Bi 0.4981 0.9961 0.9953
Bi 0.5019 0.0039 0.4953
O 0.3683 0.7366 0.0685
O 0.7092 0.4184 0.8044
O 0.4253 0.8506 0.8352
O 0.2989 0.5978 0.6317
O 0.9897 0.9795 0.6008
O 0.6317 0.2634 0.5685
O 0.2908 0.5816 0.3044
O 0.5747 0.1494 0.3352
O 0.7011 0.4022 0.1317
O 0.0103 0.0205 0.1008

Properties
D(E_F)   0.00 states/eV per atom
VASP energy   -6.86 eV/atom